# 1
Computed, not measured: SbPBr after structural relaxation at the GGA-PBE level of DFT.

Cell: 6.8030 6.8030 6.8030 Å, 90.00 90.00 90.00°
Space group F-43m (No. 216)
Unique sites:
1 Sb 0.0000 0.0000 0.0000 (multiplicity 4)
2 P 0.2500 0.2500 0.7500 (multiplicity 4)
3 Br 0.0000 0.0000 0.5000 (multiplicity 4)

Fermi-level density of states	2.5	states/eV/cell

# 2
Computed, not measured: SbP2Br after structural relaxation at the GGA-PBE level of DFT.

Cell: 3.5521 4.7535 4.8858 Å, 90.00 90.00 90.00°
Space group Pmmm (No. 47)
Unique sites:
1 Sb 0.0000 0.0000 0.0000 (multiplicity 1)
2 P 0.0000 0.5000 0.5000 (multiplicity 1)
3 P 0.5000 0.5000 0.0000 (multiplicity 1)
4 Br 0.5000 0.0000 0.5000 (multiplicity 1)

Fermi-level density of states	2.1	states/eV/cell

What are the energy relative to the elements, uncorrected values for these records? In order: 0.43, 0.78 eV per atom.